VASP calculation (PBE) on crystalline Zr3Al at its relaxed geometry.

It has space group Pmmn (No. 59, origin choice 2), with a = 5.101 Å, b = 6.054 Å, c = 5.512 Å, α = 90.00°, β = 90.00° and γ = 90.00°. The asymmetric unit holds Zr at (0.250, 0.000, 0.162), Zr at (0.250, 0.250, 0.637) and Al at (0.250, 0.750, 0.670).

The calculation puts the density of states at the Fermi level at 6.6 states/eV per cell. The value obtained for the total DFT energy (no corrections) is -60.8 eV per cell. For the energy of formation from the pure elements, the calculation gives -255 meV per atom.

***

VASP calculation (PBE) on crystalline CaHo6Er6 at its relaxed geometry.

It has space group Cmmm (No. 65), with a = 6.470 Å, b = 11.949 Å, c = 11.113 Å, α = 90.00°, β = 90.00° and γ = 90.00°. The asymmetric unit holds Ca at (0.000, 0.000, 0.000), Ho at (0.000, 0.500, 0.205), Ho at (0.250, 0.250, 0.263), Er at (0.000, 0.000, 0.352), Er at (0.000, 0.290, 0.000) and Er at (0.000, 0.368, 0.500).

The calculation puts the density of states at the Fermi level at 39.4 states/eV per cell. The value obtained for the total DFT energy (no corrections) is -107.1 eV per cell. For the energy of formation from the pure elements, the calculation gives 252 meV per atom.

***

VASP calculation (PBE) on crystalline LaMnS3 at its relaxed geometry.

It has space group Pm-3m (No. 221), with a = 4.628 Å, b = 4.628 Å, c = 4.628 Å, α = 90.00°, β = 90.00° and γ = 90.00°. The asymmetric unit holds La at (0.000, 0.000, 0.000), Mn at (0.500, 0.500, 0.500) and S at (0.000, 0.500, 0.500).

The calculation puts the density of states at the Fermi level at 1.1 states/eV per cell. The value obtained for the total DFT energy (no corrections) is -32.6 eV per cell.

***

VASP calculation (PBE) on crystalline Li2Hg2Te at its relaxed geometry.

It has space group P4/mbm (No. 127), with a = 7.290 Å, b = 7.290 Å, c = 4.912 Å, α = 90.00°, β = 90.00° and γ = 90.00°. The asymmetric unit holds Li at (0.174, 0.326, 0.000), Hg at (0.150, 0.650, 0.500) and Te at (0.000, 0.000, 0.000).

The calculation puts the density of states at the Fermi level at 0.4 states/eV per cell. The value obtained for the total DFT energy (no corrections) is -19.1 eV per cell. Its energy above the most stable polymorph in this dataset is 0 meV per atom.

***

VASP calculation (PBE) on crystalline Cr3NiPb at its relaxed geometry.

It has space group Pm-3m (No. 221), with a = 5.174 Å, b = 5.174 Å, c = 5.174 Å, α = 90.00°, β = 90.00° and γ = 90.00°. The asymmetric unit holds Cr at (0.000, 0.000, 0.500), Ni at (0.500, 0.500, 0.500) and Pb at (0.000, 0.000, 0.000).

The calculation puts the density of states at the Fermi level at 9.5 states/eV per cell. The value obtained for the total DFT energy (no corrections) is -28.8 eV per cell. Its energy above the most stable polymorph in this dataset is 913 meV per atom. For the energy of formation from the pure elements, the calculation gives 1904 meV per atom.

***

VASP calculation (PBE) on crystalline BaWN3 at its relaxed geometry.

It has space group C2/m (No. 12), with a = 14.318 Å, b = 3.426 Å, c = 7.348 Å, α = 90.00°, β = 118.65° and γ = 90.00°. The asymmetric unit holds Ba at (0.113, 0.000, 0.454), W at (0.157, 0.500, 0.021), N at (0.038, 0.000, 0.974), N at (0.182, 0.000, 0.889) and N at (0.182, 0.500, 0.288).

The calculation puts the density of states at the Fermi level at 5.1 states/eV per cell. The value obtained for the total DFT energy (no corrections) is -164.2 eV per cell.

***

VASP calculation (PBE) on crystalline Sr3CeTm3Se8 at its relaxed geometry.

It has space group R-3m (No. 166, hexagonal axes), with a = 8.3013 Å, b = 8.3013 Å, c = 21.3042 Å, α = 90.00°, β = 90.00° and γ = 120.00°. The asymmetric unit holds Sr at (0.0000, 0.5000, 0.0000), Ce at (0.0000, 0.0000, 0.5000), Tm at (0.0000, 0.5000, 0.5000), Se at (0.0000, 0.0000, 0.2420) and Se at (0.0135, 0.5068, 0.7566).

The calculation puts the density of states at the Fermi level at 30.3 states/eV per cell. The value obtained for the total DFT energy (no corrections) is -241.2 eV per cell.

***

VASP calculation (PBE) on crystalline LiRh2Br at its relaxed geometry.

It has space group P4mm (No. 99), with a = 3.337 Å, b = 3.337 Å, c = 6.323 Å, α = 90.00°, β = 90.00° and γ = 90.00°. The asymmetric unit holds Li at (0.000, 0.000, 0.000), Rh at (0.000, 0.000, 0.434), Rh at (0.500, 0.500, 0.277) and Br at (0.500, 0.500, 0.844).

The calculation puts the density of states at the Fermi level at 4.2 states/eV per cell. The value obtained for the total DFT energy (no corrections) is -18.2 eV per cell. Its energy above the most stable polymorph in this dataset is 26 meV per atom.

***

VASP calculation (PBE) on crystalline Mn2CrRh2 at its relaxed geometry.

It has space group P4/mbm (No. 127), with a = 6.998 Å, b = 6.998 Å, c = 2.643 Å, α = 90.00°, β = 90.00° and γ = 90.00°. The asymmetric unit holds Mn at (0.116, 0.384, 0.000), Cr at (0.000, 0.000, 0.000) and Rh at (0.179, 0.679, 0.500).

The calculation puts the density of states at the Fermi level at 12.9 states/eV per cell. The value obtained for the total DFT energy (no corrections) is -82.9 eV per cell. Its energy above the most stable polymorph in this dataset is 0 meV per atom. For the energy of formation from the pure elements, the calculation gives 243 meV per atom.

***

VASP calculation (PBE) on crystalline Sr2CaAs at its relaxed geometry.

It has space group I-42d (No. 122), with a = 11.161 Å, b = 11.161 Å, c = 5.794 Å, α = 90.00°, β = 90.00° and γ = 90.00°. The asymmetric unit holds Sr at (0.109, 0.250, 0.125), Ca at (0.000, 0.000, 0.500) and As at (0.000, 0.000, 0.000).

The calculation puts the density of states at the Fermi level at 22.0 states/eV per cell. The value obtained for the total DFT energy (no corrections) is -47.6 eV per cell. For the energy of formation from the pure elements, the calculation gives -471 meV per atom.

***

VASP calculation (PBE) on crystalline NpAl2Cu2 at its relaxed geometry.

It has space group P4/mbm (No. 127), with a = 7.795 Å, b = 7.795 Å, c = 2.645 Å, α = 90.00°, β = 90.00° and γ = 90.00°. The asymmetric unit holds Np at (0.000, 0.000, 0.000), Al at (0.129, 0.371, 0.000) and Cu at (0.162, 0.662, 0.500).

The calculation puts the density of states at the Fermi level at 14.1 states/eV per cell. The value obtained for the total DFT energy (no corrections) is -57.7 eV per cell. For the energy of formation from the pure elements, the calculation gives -43 meV per atom.

***

VASP calculation (PBE) on crystalline LiCaYCo at its relaxed geometry.

It has space group F-43m (No. 216), with a = 6.984 Å, b = 6.984 Å, c = 6.984 Å, α = 90.00°, β = 90.00° and γ = 90.00°. The asymmetric unit holds Li at (0.000, 0.000, 0.000), Ca at (0.250, 0.250, 0.750), Y at (0.250, 0.250, 0.250) and Co at (0.000, 0.000, 0.500).

The calculation puts the density of states at the Fermi level at 11.7 states/eV per cell. The value obtained for the total DFT energy (no corrections) is -68.1 eV per cell. For the energy of formation from the pure elements, the calculation gives 114 meV per atom.